(1)
PBEsol Li2ScCr, relaxed; excess energy over the best structure of this formula in the dataset = 252 meV per atom; crystal system = tetragonal; space group = P4/mmm; formation enthalpy at 0 K = 0.662 eV/atom
1.0
2.5849 0.0000 0.0000
0.0000 2.5849 0.0000
0.0000 0.0000 9.6038
Cr Li Sc
1 2 1
direct
0.5000 0.5000 0.5000
0.0000 0.0000 0.7239
0.0000 0.0000 0.2761
0.5000 0.5000 0.0000

(2)
PBEsol LiCrSe4, relaxed; raw total energy = -4.19 eV per atom; crystal system = cubic; space group = F-43m
1.0
5.6840 0.0000 0.0000
2.8420 4.9225 0.0000
2.8420 1.6408 4.6410
Cr Li Se
1 1 4
direct
0.7500 0.7500 0.7500
0.0000 0.0000 0.0000
0.3753 0.3753 0.3753
0.3753 0.3753 0.8740
0.8740 0.3753 0.3753
0.3753 0.8740 0.3753